The following is a GGA-PBE calculation of a geometry-optimized Ca3Ce3SmTe8 structure, from the Alexandria database.

Output
For the total energy, the calculation gives -75.69 eV/cell. As for the energy relative to the elements, uncorrected: -1.469 eV per atom.

```
data_Ca3Ce3SmTe8
_cell_length_a 9.0507
_cell_length_b 9.0507
_cell_length_c 9.0507
_cell_angle_alpha 59.36
_cell_angle_beta 59.36
_cell_angle_gamma 59.36
_space_group_name_H-M_alt 'P 1'
_space_group_IT_number 1
loop_
_space_group_symop_operation_xyz
'x,y,z'
loop_
_atom_site_label
_atom_site_type_symbol
_atom_site_fract_x
_atom_site_fract_y
_atom_site_fract_z
Ca1 Ca 0.0000 0.5000 0.5000
Ca2 Ca 0.5000 0.0000 0.5000
Ca3 Ca 0.5000 0.5000 0.0000
Ce1 Ce 0.0000 0.0000 0.5000
Ce2 Ce 0.0000 0.5000 0.0000
Ce3 Ce 0.5000 0.0000 0.0000
Sm1 Sm 0.5000 0.5000 0.5000
Te1 Te 0.2501 0.2501 0.7486
Te2 Te 0.2501 0.7486 0.2501
Te3 Te 0.2514 0.7499 0.7499
Te4 Te 0.2518 0.2518 0.2518
Te5 Te 0.7482 0.7482 0.7482
Te6 Te 0.7486 0.2501 0.2501
Te7 Te 0.7499 0.2514 0.7499
Te8 Te 0.7499 0.7499 0.2514
```

The following is a GGA-PBE calculation of a geometry-optimized CaCe2SmTe5 structure, from the Alexandria database.

Output
For the total energy, the calculation gives -42.38 eV/cell. As for the energy relative to the elements, uncorrected: -0.898 eV per atom.

```
data_CaCe2SmTe5
_cell_length_a 5.6524
_cell_length_b 5.6524
_cell_length_c 11.6472
_cell_angle_alpha 90.00
_cell_angle_beta 90.00
_cell_angle_gamma 90.00
_space_group_name_H-M_alt 'P 1'
_space_group_IT_number 1
loop_
_space_group_symop_operation_xyz
'x,y,z'
loop_
_atom_site_label
_atom_site_type_symbol
_atom_site_fract_x
_atom_site_fract_y
_atom_site_fract_z
Ca1 Ca 0.0000 0.0000 0.0000
Ce1 Ce 0.5000 0.5000 0.3000
Ce2 Ce 0.5000 0.5000 0.7000
Sm1 Sm 0.0000 0.0000 0.5000
Te1 Te 0.0000 0.0000 0.2440
Te2 Te 0.0000 0.0000 0.7560
Te3 Te 0.0000 0.5000 0.5000
Te4 Te 0.5000 0.0000 0.5000
Te5 Te 0.5000 0.5000 0.0000
```

The following is a GGA-PBE calculation of a geometry-optimized CaCeSmY structure, from the Alexandria database.

Output
For the formation energy, the calculation gives 0.24 eV per atom. For the total energy, the calculation gives -18.17 eV/cell.

```
data_CaCeSmY
_cell_length_a 5.8040
_cell_length_b 5.8040
_cell_length_c 5.8040
_cell_angle_alpha 60.00
_cell_angle_beta 60.00
_cell_angle_gamma 60.00
_space_group_name_H-M_alt 'P 1'
_space_group_IT_number 1
loop_
_space_group_symop_operation_xyz
'x,y,z'
loop_
_atom_site_label
_atom_site_type_symbol
_atom_site_fract_x
_atom_site_fract_y
_atom_site_fract_z
Ca1 Ca 0.0000 0.0000 0.0000
Ce1 Ce 0.5000 0.5000 0.5000
Sm1 Sm 0.7500 0.7500 0.7500
Y1 Y 0.2500 0.2500 0.2500
```

The following is a GGA-PBE calculation of a geometry-optimized CaCeSn structure, from the Alexandria database.

Output
For the formation energy, the calculation gives -0.27 eV per atom. For the total energy, the calculation gives -12.74 eV/cell.

```
data_CaCeSn
_cell_length_a 5.9685
_cell_length_b 5.9685
_cell_length_c 5.9685
_cell_angle_alpha 138.98
_cell_angle_beta 138.98
_cell_angle_gamma 59.41
_space_group_name_H-M_alt 'P 1'
_space_group_IT_number 1
loop_
_space_group_symop_operation_xyz
'x,y,z'
loop_
_atom_site_label
_atom_site_type_symbol
_atom_site_fract_x
_atom_site_fract_y
_atom_site_fract_z
Ca1 Ca 0.0000 0.0000 0.0000
Ce1 Ce 0.6944 0.6944 0.0000
Sn1 Sn 0.3450 0.3450 0.0000
```

The following is a GGA-PBE calculation of a geometry-optimized CaCeSn structure, from the Alexandria database.

Output
For the formation energy, the calculation gives -0.27 eV per atom. For the total energy, the calculation gives -12.76 eV/cell.

```
data_CaCeSn
_cell_length_a 5.3232
_cell_length_b 5.3232
_cell_length_c 3.7461
_cell_angle_alpha 90.00
_cell_angle_beta 90.00
_cell_angle_gamma 120.00
_space_group_name_H-M_alt 'P 1'
_space_group_IT_number 1
loop_
_space_group_symop_operation_xyz
'x,y,z'
loop_
_atom_site_label
_atom_site_type_symbol
_atom_site_fract_x
_atom_site_fract_y
_atom_site_fract_z
Ca1 Ca 0.0000 0.0000 0.0000
Ce1 Ce 0.6667 0.3333 0.5595
Sn1 Sn 0.3333 0.6667 0.2310
```

The following is a GGA-PBE calculation of a geometry-optimized CaCeSn structure, from the Alexandria database.

Output
For the formation energy, the calculation gives -0.33 eV per atom. For the total energy, the calculation gives -12.93 eV/cell.

```
data_CaCeSn
_cell_length_a 5.3294
_cell_length_b 5.3294
_cell_length_c 5.3294
_cell_angle_alpha 60.00
_cell_angle_beta 60.00
_cell_angle_gamma 60.00
_space_group_name_H-M_alt 'P 1'
_space_group_IT_number 1
loop_
_space_group_symop_operation_xyz
'x,y,z'
loop_
_atom_site_label
_atom_site_type_symbol
_atom_site_fract_x
_atom_site_fract_y
_atom_site_fract_z
Ca1 Ca 0.0000 0.0000 0.0000
Ce1 Ce 0.5000 0.5000 0.5000
Sn1 Sn 0.7500 0.7500 0.7500
```

The following is a GGA-PBE calculation of a geometry-optimized CaCe2Sn3 structure, from the Alexandria database.

Output
For the formation energy, the calculation gives -0.60 eV per atom. For the total energy, the calculation gives -29.45 eV/cell.

```
data_CaCe2Sn3
_cell_length_a 3.4900
_cell_length_b 3.4900
_cell_length_c 13.6589
_cell_angle_alpha 90.00
_cell_angle_beta 90.00
_cell_angle_gamma 90.00
_space_group_name_H-M_alt 'P 1'
_space_group_IT_number 1
loop_
_space_group_symop_operation_xyz
'x,y,z'
loop_
_atom_site_label
_atom_site_type_symbol
_atom_site_fract_x
_atom_site_fract_y
_atom_site_fract_z
Ca1 Ca 0.0000 0.0000 0.0000
Ce1 Ce 0.0000 0.0000 0.3350
Ce2 Ce 0.0000 0.0000 0.6650
Sn1 Sn 0.5000 0.5000 0.1667
Sn2 Sn 0.5000 0.5000 0.5000
Sn3 Sn 0.5000 0.5000 0.8333
```

The following is a GGA-PBE calculation of a geometry-optimized CaCeSn structure, from the Alexandria database.

Output
For the formation energy, the calculation gives -0.44 eV per atom. For the total energy, the calculation gives -26.51 eV/cell.

```
data_CaCeSn
_cell_length_a 5.7294
_cell_length_b 5.7294
_cell_length_c 8.1033
_cell_angle_alpha 109.08
_cell_angle_beta 109.08
_cell_angle_gamma 45.61
_space_group_name_H-M_alt 'P 1'
_space_group_IT_number 1
loop_
_space_group_symop_operation_xyz
'x,y,z'
loop_
_atom_site_label
_atom_site_type_symbol
_atom_site_fract_x
_atom_site_fract_y
_atom_site_fract_z
Ca1 Ca 0.1620 0.1620 0.0928
Ca2 Ca 0.8380 0.8380 0.9072
Ce1 Ce 0.1341 0.1341 0.5609
Ce2 Ce 0.8659 0.8659 0.4391
Sn1 Sn 0.4976 0.4976 0.7490
Sn2 Sn 0.5024 0.5024 0.2510
```

The following is a GGA-PBE calculation of a geometry-optimized CaCe2Sn9 structure, from the Alexandria database.

Output
For the formation energy, the calculation gives -0.48 eV per atom. For the total energy, the calculation gives -55.68 eV/cell.

```
data_CaCe2Sn9
_cell_length_a 4.7299
_cell_length_b 4.7299
_cell_length_c 14.2266
_cell_angle_alpha 90.00
_cell_angle_beta 90.00
_cell_angle_gamma 90.00
_space_group_name_H-M_alt 'P 1'
_space_group_IT_number 1
loop_
_space_group_symop_operation_xyz
'x,y,z'
loop_
_atom_site_label
_atom_site_type_symbol
_atom_site_fract_x
_atom_site_fract_y
_atom_site_fract_z
Ca1 Ca 0.0000 0.0000 0.0000
Ce1 Ce 0.0000 0.0000 0.3380
Ce2 Ce 0.0000 0.0000 0.6620
Sn1 Sn 0.0000 0.5000 0.1679
Sn2 Sn 0.0000 0.5000 0.5000
Sn3 Sn 0.0000 0.5000 0.8321
Sn4 Sn 0.5000 0.0000 0.1679
Sn5 Sn 0.5000 0.0000 0.5000
Sn6 Sn 0.5000 0.0000 0.8321
Sn7 Sn 0.5000 0.5000 0.0000
Sn8 Sn 0.5000 0.5000 0.3341
Sn9 Sn 0.5000 0.5000 0.6659
```

The following is a GGA-PBE calculation of a geometry-optimized CaCe5Sn3 structure, from the Alexandria database.

Output
For the formation energy, the calculation gives -0.48 eV per atom. For the total energy, the calculation gives -96.01 eV/cell.

```
data_CaCe5Sn3
_cell_length_a 9.5051
_cell_length_b 9.5051
_cell_length_c 6.6823
_cell_angle_alpha 90.00
_cell_angle_beta 90.00
_cell_angle_gamma 120.00
_space_group_name_H-M_alt 'P 1'
_space_group_IT_number 1
loop_
_space_group_symop_operation_xyz
'x,y,z'
loop_
_atom_site_label
_atom_site_type_symbol
_atom_site_fract_x
_atom_site_fract_y
_atom_site_fract_z
Ca1 Ca 0.0000 0.0000 0.0000
Ca2 Ca 0.0000 0.0000 0.5000
Ce1 Ce 0.0000 0.3423 0.2500
Ce2 Ce 0.0000 0.6577 0.7500
Ce3 Ce 0.3333 0.6667 0.0000
Ce4 Ce 0.3333 0.6667 0.5000
Ce5 Ce 0.3423 0.0000 0.2500
Ce6 Ce 0.3423 0.3423 0.7500
Ce7 Ce 0.6577 0.0000 0.7500
Ce8 Ce 0.6577 0.6577 0.2500
Ce9 Ce 0.6667 0.3333 0.0000
Ce10 Ce 0.6667 0.3333 0.5000
Sn1 Sn 0.0000 0.3272 0.7500
Sn2 Sn 0.0000 0.6728 0.2500
Sn3 Sn 0.3272 0.0000 0.7500
Sn4 Sn 0.3272 0.3272 0.2500
Sn5 Sn 0.6728 0.0000 0.2500
Sn6 Sn 0.6728 0.6728 0.7500
```

The following is a GGA-PBE calculation of a geometry-optimized CaCe5Sn6 structure, from the Alexandria database.

Output
For the formation energy, the calculation gives -0.57 eV per atom. For the total energy, the calculation gives -62.56 eV/cell.

```
data_CaCe5Sn6
_cell_length_a 9.1835
_cell_length_b 9.1835
_cell_length_c 6.6327
_cell_angle_alpha 90.00
_cell_angle_beta 90.00
_cell_angle_gamma 143.09
_space_group_name_H-M_alt 'P 1'
_space_group_IT_number 1
loop_
_space_group_symop_operation_xyz
'x,y,z'
loop_
_atom_site_label
_atom_site_type_symbol
_atom_site_fract_x
_atom_site_fract_y
_atom_site_fract_z
Ca1 Ca 0.0000 0.0000 0.0000
Ce1 Ce 0.0000 0.0000 0.5000
Ce2 Ce 0.3328 0.6672 0.5000
Ce3 Ce 0.3366 0.6634 0.0000
Ce4 Ce 0.6634 0.3366 0.0000
Ce5 Ce 0.6672 0.3328 0.5000
Sn1 Sn 0.1669 0.8331 0.2468
Sn2 Sn 0.1669 0.8331 0.7532
Sn3 Sn 0.5000 0.5000 0.2558
Sn4 Sn 0.5000 0.5000 0.7442
Sn5 Sn 0.8331 0.1669 0.2468
Sn6 Sn 0.8331 0.1669 0.7532
```

The following is a GGA-PBE calculation of a geometry-optimized CaCeSn2 structure, from the Alexandria database.

Output
For the formation energy, the calculation gives -0.41 eV per atom. For the total energy, the calculation gives -17.59 eV/cell.

```
data_CaCeSn2
_cell_length_a 10.5314
_cell_length_b 10.5314
_cell_length_c 10.5314
_cell_angle_alpha 19.68
_cell_angle_beta 19.68
_cell_angle_gamma 19.68
_space_group_name_H-M_alt 'P 1'
_space_group_IT_number 1
loop_
_space_group_symop_operation_xyz
'x,y,z'
loop_
_atom_site_label
_atom_site_type_symbol
_atom_site_fract_x
_atom_site_fract_y
_atom_site_fract_z
Ca1 Ca 0.0000 0.0000 0.0000
Ce1 Ce 0.5000 0.5000 0.5000
Sn1 Sn 0.2516 0.2516 0.2516
Sn2 Sn 0.7484 0.7484 0.7484
```

What is the formula in the sixth record? CaCeSn

Which value of total energy does entry 7 give? -29.45 eV/cell

Number 4 is which compound? CaCeSn